Computed, not measured: a relaxed structure of Na2TcB2 at the PBE level of DFT.

- VASP energy (eV/atom) = -4.56
- energy above the most stable polymorph in this dataset (meV per atom) = 0
- crystal system = tetragonal

a b c (Å): 5.863 5.863 4.801
angles (deg): 90.00 90.00 90.00
Space group P4/mbm (No. 127)
Inequivalent atoms, fractional coordinates:
Na 0.163 0.337 0.000
Tc 0.000 0.000 0.500
B 0.226 0.726 0.500